1.
The following is a DFT calculation (GGA-PBE) of a relaxed structure of YHg2BiAu. Values from VASP.

ΔH_f (0 K) (eV/atom): -0.0292
V (Å³ per cell): 154.2
Energy above the most stable polymorph in this dataset (meV/atom): 0
Total magnetic moment (μB per formula unit): 0.000

Quantum ESPRESSO input file:
```
&SYSTEM
  ibrav = 0, nat = 5, ntyp = 4
/
ATOMIC_SPECIES
Y 88.91 Y.upf
Hg 200.59 Hg.upf
Bi 208.98 Bi.upf
Au 196.97 Au.upf
CELL_PARAMETERS angstrom
5.216 0.000 0.000
0.000 5.216 0.000
0.000 0.000 5.667
ATOMIC_POSITIONS angstrom
Y 0.000 0.000 0.000
Hg 0.000 2.608 2.833
Hg 2.608 0.000 2.833
Bi 2.608 2.608 0.000
Au 0.000 0.000 2.833
```



2.
The following is a DFT calculation (GGA-PBE) of a relaxed structure of YHg2BiAu. Values from VASP.

ΔH_f (0 K) (eV/atom): 0.5434
V (Å³ per cell): 201.4
Energy above the most stable polymorph in this dataset (meV/atom): 573
Total magnetic moment (μB per formula unit): 0.000

Quantum ESPRESSO input file:
```
&SYSTEM
  ibrav = 0, nat = 5, ntyp = 4
/
ATOMIC_SPECIES
Y 88.91 Y.upf
Hg 200.59 Hg.upf
Bi 208.98 Bi.upf
Au 196.97 Au.upf
CELL_PARAMETERS angstrom
5.837 0.000 0.000
0.000 5.837 0.000
0.000 0.000 5.911
ATOMIC_POSITIONS angstrom
Y 0.000 0.000 0.000
Hg 0.000 2.919 0.000
Hg 2.919 0.000 0.000
Bi 0.000 0.000 2.955
Au 2.919 2.919 2.955
```



3.
The following is a DFT calculation (GGA-PBE) of a relaxed structure of Ho5Bi5Au. Values from VASP.

ΔH_f (0 K) (eV/atom): -0.5393
V (Å³ per cell): 356.2
Total magnetic moment (μB per formula unit): 0.000

Quantum ESPRESSO input file:
```
&SYSTEM
  ibrav = 0, nat = 11, ntyp = 3
/
ATOMIC_SPECIES
Ho 164.93 Ho.upf
Bi 208.98 Bi.upf
Au 196.97 Au.upf
CELL_PARAMETERS angstrom
6.899 -3.091 0.000
6.899 3.091 0.000
-2.957 0.000 8.351
ATOMIC_POSITIONS angstrom
Ho 0.000 0.000 0.000
Ho 4.006 0.000 1.353
Ho 2.613 0.000 5.588
Ho 8.228 0.000 2.763
Ho 6.836 0.000 6.998
Bi -0.282 0.000 6.767
Bi 1.175 0.000 2.840
Bi 5.421 0.000 4.176
Bi 9.666 0.000 5.511
Bi 11.123 0.000 1.584
Au 6.899 0.000 0.000
```



4.
The following is a DFT calculation (GGA-PBE) of a relaxed structure of HoBiAu. Values from VASP.

ΔH_f (0 K) (eV/atom): -0.5778
V (Å³ per cell): 77.8
Total magnetic moment (μB per formula unit): 0.000

Quantum ESPRESSO input file:
```
&SYSTEM
  ibrav = 0, nat = 3, ntyp = 3
/
ATOMIC_SPECIES
Ho 164.93 Ho.upf
Bi 208.98 Bi.upf
Au 196.97 Au.upf
CELL_PARAMETERS angstrom
-1.828 1.828 5.820
1.828 -1.828 5.820
1.828 1.828 -5.820
ATOMIC_POSITIONS angstrom
Ho 0.000 0.000 0.000
Bi 0.000 0.000 3.468
Au 0.000 0.000 7.273
```



5.
The following is a DFT calculation (GGA-PBE) of a relaxed structure of Ho2BiAu. Values from VASP.

ΔH_f (0 K) (eV/atom): -0.6780
V (Å³ per cell): 103.7
Total magnetic moment (μB per formula unit): 0.003

Quantum ESPRESSO input file:
```
&SYSTEM
  ibrav = 0, nat = 4, ntyp = 3
/
ATOMIC_SPECIES
Ho 164.93 Ho.upf
Bi 208.98 Bi.upf
Au 196.97 Au.upf
CELL_PARAMETERS angstrom
3.827 0.000 0.000
0.000 3.827 0.000
0.000 0.000 7.079
ATOMIC_POSITIONS angstrom
Ho 0.000 0.000 1.674
Ho 0.000 0.000 5.405
Bi 1.913 1.913 3.540
Au 1.913 1.913 0.000
```



6.
The following is a DFT calculation (GGA-PBE) of a relaxed structure of HoBiAu4. Values from VASP.

ΔH_f (0 K) (eV/atom): -0.4297
V (Å³ per cell): 131.1
Energy above the most stable polymorph in this dataset (meV/atom): 0
Total magnetic moment (μB per formula unit): 0.000

Quantum ESPRESSO input file:
```
&SYSTEM
  ibrav = 0, nat = 6, ntyp = 3
/
ATOMIC_SPECIES
Ho 164.93 Ho.upf
Bi 208.98 Bi.upf
Au 196.97 Au.upf
CELL_PARAMETERS angstrom
4.853 0.000 0.000
-2.427 4.203 0.000
0.000 0.000 6.425
ATOMIC_POSITIONS angstrom
Ho 0.000 0.000 0.000
Bi 0.000 0.000 3.213
Au 0.000 2.802 1.499
Au 0.000 2.802 4.926
Au 2.427 1.401 1.499
Au 2.427 1.401 4.926
```



7.
The following is a DFT calculation (GGA-PBE) of a relaxed structure of Ho3BiAu. Values from VASP.

ΔH_f (0 K) (eV/atom): -0.5763
V (Å³ per cell): 295.9
Total magnetic moment (μB per formula unit): 0.000

Quantum ESPRESSO input file:
```
&SYSTEM
  ibrav = 0, nat = 10, ntyp = 3
/
ATOMIC_SPECIES
Ho 164.93 Ho.upf
Bi 208.98 Bi.upf
Au 196.97 Au.upf
CELL_PARAMETERS angstrom
6.375 0.000 0.000
0.000 5.465 0.000
0.000 0.000 8.492
ATOMIC_POSITIONS angstrom
Ho 0.000 0.000 0.000
Ho 1.594 0.000 3.107
Ho 1.594 2.732 6.323
Ho 3.188 0.000 0.000
Ho 4.781 0.000 5.385
Ho 4.781 2.732 2.170
Bi 1.594 2.732 1.255
Bi 4.781 2.732 7.238
Au 1.594 0.000 5.931
Au 4.781 0.000 2.561
```



8.
The following is a DFT calculation (GGA-PBE) of a relaxed structure of HoBiAu2. Values from VASP.

ΔH_f (0 K) (eV/atom): -0.4514
V (Å³ per cell): 105.0
Total magnetic moment (μB per formula unit): 0.000

Quantum ESPRESSO input file:
```
&SYSTEM
  ibrav = 0, nat = 4, ntyp = 3
/
ATOMIC_SPECIES
Ho 164.93 Ho.upf
Bi 208.98 Bi.upf
Au 196.97 Au.upf
CELL_PARAMETERS angstrom
1.993 1.151 7.626
-1.993 1.151 7.626
0.000 -2.302 7.626
ATOMIC_POSITIONS angstrom
Ho 0.000 0.000 0.000
Bi 0.000 0.000 19.051
Au 0.000 0.000 9.442
Au 0.000 0.000 13.436
```



9.
The following is a DFT calculation (GGA-PBE) of a relaxed structure of Ho6Bi2Au. Values from VASP.

ΔH_f (0 K) (eV/atom): -0.4920
V (Å³ per cell): 533.5
Total magnetic moment (μB per formula unit): 0.000

Quantum ESPRESSO input file:
```
&SYSTEM
  ibrav = 0, nat = 18, ntyp = 3
/
ATOMIC_SPECIES
Ho 164.93 Ho.upf
Bi 208.98 Bi.upf
Au 196.97 Au.upf
CELL_PARAMETERS angstrom
6.442 0.000 0.000
0.000 8.062 0.000
-6.306 0.000 10.271
ATOMIC_POSITIONS angstrom
Ho -2.356 1.655 4.689
Ho -5.509 2.376 9.824
Ho -0.802 5.352 4.714
Ho -3.955 6.741 9.849
Ho 0.972 0.265 2.450
Ho -2.181 3.766 7.585
Ho 2.317 4.296 2.686
Ho -0.835 7.798 7.821
Ho 4.092 1.321 0.422
Ho 0.939 2.710 5.558
Ho 5.645 5.686 0.447
Ho 2.492 6.408 5.583
Bi -3.790 0.916 7.600
Bi -0.637 3.115 2.464
Bi 0.774 4.948 7.807
Bi 3.927 7.146 2.672
Au 0.068 0.000 5.136
Au 3.221 4.031 0.000
```



10.
The following is a DFT calculation (GGA-PBE) of a relaxed structure of Ho2BiAu. Values from VASP.

ΔH_f (0 K) (eV/atom): -0.7570
V (Å³ per cell): 220.7
Total magnetic moment (μB per formula unit): 0.000

Quantum ESPRESSO input file:
```
&SYSTEM
  ibrav = 0, nat = 8, ntyp = 3
/
ATOMIC_SPECIES
Ho 164.93 Ho.upf
Bi 208.98 Bi.upf
Au 196.97 Au.upf
CELL_PARAMETERS angstrom
2.050 -11.683 0.000
2.050 11.683 0.000
0.000 0.000 4.609
ATOMIC_POSITIONS angstrom
Ho 2.050 10.300 3.457
Ho 2.050 3.972 3.457
Ho 2.050 -3.972 1.152
Ho 2.050 -10.300 1.152
Bi 2.050 7.176 3.457
Bi 2.050 -7.176 1.152
Au 2.050 0.956 3.457
Au 2.050 -0.956 1.152
```



11.
The following is a DFT calculation (GGA-PBE) of a relaxed structure of Ho6Bi3Au. Values from VASP.

ΔH_f (0 K) (eV/atom): -0.4907
V (Å³ per cell): 619.6
Total magnetic moment (μB per formula unit): 0.000

Quantum ESPRESSO input file:
```
&SYSTEM
  ibrav = 0, nat = 20, ntyp = 3
/
ATOMIC_SPECIES
Ho 164.93 Ho.upf
Bi 208.98 Bi.upf
Au 196.97 Au.upf
CELL_PARAMETERS angstrom
5.565 -7.809 0.000
5.565 7.809 0.000
0.000 0.000 7.129
ATOMIC_POSITIONS angstrom
Ho 5.565 7.604 3.565
Ho 3.683 3.603 6.760
Ho 3.399 0.991 2.319
Ho 5.565 3.937 2.952
Ho 3.399 -0.991 5.884
Ho 7.446 3.603 6.760
Ho 3.683 -3.603 3.195
Ho 7.730 0.991 2.319
Ho 5.565 -3.937 6.517
Ho 7.730 -0.991 5.884
Ho 7.446 -3.603 3.195
Ho 5.565 -7.604 0.000
Bi 2.006 1.636 5.087
Bi 2.006 -1.636 1.522
Bi 5.565 1.035 0.053
Bi 5.565 -1.035 3.618
Bi 9.124 1.636 5.087
Bi 9.124 -1.636 1.522
Au 5.565 5.401 5.458
Au 5.565 -5.401 1.894
```



12.
The following is a DFT calculation (GGA-PBE) of a relaxed structure of HoBiAu2. Values from VASP.

ΔH_f (0 K) (eV/atom): -0.5688
V (Å³ per cell): 94.8
Total magnetic moment (μB per formula unit): 0.000

Quantum ESPRESSO input file:
```
&SYSTEM
  ibrav = 0, nat = 4, ntyp = 3
/
ATOMIC_SPECIES
Ho 164.93 Ho.upf
Bi 208.98 Bi.upf
Au 196.97 Au.upf
CELL_PARAMETERS angstrom
3.594 0.000 0.000
0.000 3.594 0.000
0.000 0.000 7.341
ATOMIC_POSITIONS angstrom
Ho 0.000 0.000 0.000
Bi 0.000 0.000 3.670
Au 1.797 1.797 1.656
Au 1.797 1.797 5.684
```



13.
The following is a DFT calculation (GGA-PBE) of a relaxed structure of HoBiAu2. Values from VASP.

ΔH_f (0 K) (eV/atom): -0.5105
V (Å³ per cell): 91.7
Total magnetic moment (μB per formula unit): 0.000

Quantum ESPRESSO input file:
```
&SYSTEM
  ibrav = 0, nat = 4, ntyp = 3
/
ATOMIC_SPECIES
Ho 164.93 Ho.upf
Bi 208.98 Bi.upf
Au 196.97 Au.upf
CELL_PARAMETERS angstrom
4.553 0.000 0.000
0.000 4.553 0.000
0.000 0.000 4.425
ATOMIC_POSITIONS angstrom
Ho 0.000 0.000 0.000
Bi 2.276 2.276 0.000
Au 0.000 2.276 2.212
Au 2.276 0.000 2.212
```



14.
The following is a DFT calculation (GGA-PBE) of a relaxed structure of HoBiAu. Values from VASP.

ΔH_f (0 K) (eV/atom): -0.5945
V (Å³ per cell): 80.0
Total magnetic moment (μB per formula unit): 0.000

Quantum ESPRESSO input file:
```
&SYSTEM
  ibrav = 0, nat = 3, ntyp = 3
/
ATOMIC_SPECIES
Ho 164.93 Ho.upf
Bi 208.98 Bi.upf
Au 196.97 Au.upf
CELL_PARAMETERS angstrom
4.616 0.000 0.000
-2.308 3.997 0.000
0.000 0.000 4.335
ATOMIC_POSITIONS angstrom
Ho 0.000 0.000 0.000
Bi 0.000 2.665 1.925
Au 2.308 1.332 3.095
```



15.
The following is a DFT calculation (GGA-PBE) of a relaxed structure of Ho6BiAu. Values from VASP.

ΔH_f (0 K) (eV/atom): -0.0969
V (Å³ per cell): 269.8
Total magnetic moment (μB per formula unit): 0.002

Quantum ESPRESSO input file:
```
&SYSTEM
  ibrav = 0, nat = 8, ntyp = 3
/
ATOMIC_SPECIES
Ho 164.93 Ho.upf
Bi 208.98 Bi.upf
Au 196.97 Au.upf
CELL_PARAMETERS angstrom
7.043 0.000 0.000
-3.484 6.137 0.000
-3.479 -2.047 6.242
ATOMIC_POSITIONS angstrom
Ho -0.959 -0.140 1.641
Ho -2.337 1.771 4.610
Ho -1.361 3.981 1.632
Ho 1.442 0.110 4.610
Ho 2.417 2.319 1.632
Ho 1.040 4.230 4.601
Bi 3.522 0.000 0.000
Au 0.040 2.045 3.121
```



16.
The following is a DFT calculation (GGA-PBE) of a relaxed structure of Ho2BiAu. Values from VASP.

ΔH_f (0 K) (eV/atom): -0.7043
V (Å³ per cell): 115.1
Total magnetic moment (μB per formula unit): 0.000

Quantum ESPRESSO input file:
```
&SYSTEM
  ibrav = 0, nat = 4, ntyp = 3
/
ATOMIC_SPECIES
Ho 164.93 Ho.upf
Bi 208.98 Bi.upf
Au 196.97 Au.upf
CELL_PARAMETERS angstrom
2.184 1.261 6.972
-2.184 1.261 6.972
0.000 -2.521 6.972
ATOMIC_POSITIONS angstrom
Ho 0.000 0.000 5.058
Ho 0.000 0.000 15.856
Bi 0.000 0.000 0.000
Au 0.000 0.000 10.457
```



17.
The following is a DFT calculation (GGA-PBE) of a relaxed structure of Ho5Bi2Au. Values from VASP.

ΔH_f (0 K) (eV/atom): -0.2207
V (Å³ per cell): 583.8
Total magnetic moment (μB per formula unit): 0.777

Quantum ESPRESSO input file:
```
&SYSTEM
  ibrav = 0, nat = 16, ntyp = 3
/
ATOMIC_SPECIES
Ho 164.93 Ho.upf
Bi 208.98 Bi.upf
Au 196.97 Au.upf
CELL_PARAMETERS angstrom
2.854 -7.503 0.000
2.854 7.503 0.000
0.000 0.000 13.633
ATOMIC_POSITIONS angstrom
Ho 2.854 6.246 8.375
Ho 2.854 6.246 12.075
Ho 2.854 3.208 3.408
Ho 2.854 2.866 7.332
Ho 2.854 2.866 13.118
Ho 2.854 -2.866 0.516
Ho 2.854 -2.866 6.301
Ho 2.854 -3.208 10.225
Ho 2.854 -6.246 1.558
Ho 2.854 -6.246 5.259
Bi 2.854 5.638 1.418
Bi 2.854 5.638 5.399
Bi 2.854 -5.638 8.234
Bi 2.854 -5.638 12.215
Au 2.854 4.075 10.225
Au 2.854 -4.075 3.408
```



18.
The following is a DFT calculation (GGA-PBE) of a relaxed structure of HoBiAu4. Values from VASP.

ΔH_f (0 K) (eV/atom): -0.4098
V (Å³ per cell): 129.8
Energy above the most stable polymorph in this dataset (meV/atom): 20
Total magnetic moment (μB per formula unit): 0.000

Quantum ESPRESSO input file:
```
&SYSTEM
  ibrav = 0, nat = 6, ntyp = 3
/
ATOMIC_SPECIES
Ho 164.93 Ho.upf
Bi 208.98 Bi.upf
Au 196.97 Au.upf
CELL_PARAMETERS angstrom
0.000 4.018 4.018
4.018 0.000 4.018
4.018 4.018 0.000
ATOMIC_POSITIONS angstrom
Ho 0.000 0.000 0.000
Bi 2.009 2.009 2.009
Au 5.026 3.011 3.011
Au 3.011 5.026 3.011
Au 3.011 3.011 5.026
Au 5.026 5.026 5.026
```



19.
The following is a DFT calculation (GGA-PBE) of a relaxed structure of HoBiAu. Values from VASP.

ΔH_f (0 K) (eV/atom): -0.6224
V (Å³ per cell): 165.7
Total magnetic moment (μB per formula unit): 0.000

Quantum ESPRESSO input file:
```
&SYSTEM
  ibrav = 0, nat = 6, ntyp = 3
/
ATOMIC_SPECIES
Ho 164.93 Ho.upf
Bi 208.98 Bi.upf
Au 196.97 Au.upf
CELL_PARAMETERS angstrom
5.348 -2.302 0.000
5.348 2.302 0.000
-0.615 0.000 6.731
ATOMIC_POSITIONS angstrom
Ho 1.002 0.000 1.374
Ho 9.080 0.000 5.357
Bi 1.558 0.000 4.605
Bi 8.523 0.000 2.126
Au 4.196 0.000 0.724
Au 5.885 0.000 6.007
```



20.
The following is a DFT calculation (GGA-PBE) of a relaxed structure of Ho3Bi4Au3. Values from VASP.

ΔH_f (0 K) (eV/atom): -0.6331
V (Å³ per cell): 522.7
Total magnetic moment (μB per formula unit): 0.000

Quantum ESPRESSO input file:
```
&SYSTEM
  ibrav = 0, nat = 20, ntyp = 3
/
ATOMIC_SPECIES
Ho 164.93 Ho.upf
Bi 208.98 Bi.upf
Au 196.97 Au.upf
CELL_PARAMETERS angstrom
-5.075 5.075 5.075
5.075 -5.075 5.075
5.075 5.075 -5.075
ATOMIC_POSITIONS angstrom
Ho 5.075 -2.537 3.806
Ho 3.806 5.075 -2.537
Ho 5.075 2.537 1.269
Ho 2.537 1.269 5.075
Ho 1.269 5.075 2.537
Ho -2.537 3.806 5.075
Bi 3.479 1.595 -1.595
Bi 6.017 -0.942 0.942
Bi 1.595 -1.595 3.479
Bi 1.595 1.595 1.595
Bi -1.595 3.479 1.595
Bi 0.942 6.017 -0.942
Bi -0.942 0.942 6.017
Bi 4.133 4.133 4.133
Au 7.612 1.269 0.000
Au 3.806 0.000 2.537
Au 2.537 3.806 0.000
Au 0.000 2.537 3.806
Au 1.269 0.000 7.612
Au 0.000 7.612 1.269
```